(1)
TiPdW3 | GGA-PBE | optimized geometry

As for the total magnetization: 0.0 Bohr magnetons per cell. The value obtained for the volume is 20.9 Å³/atom. The value obtained for the formation energy is 207.40 kJ/mol of atoms. The value obtained for the energy above the most stable polymorph in this dataset is 0.305 eV per atom. Its uncorrected energy is -41.200 eV/f.u. For the density of states at the Fermi level, the calculation gives 10.02 states/eV per cell.

Geometry as CIF:
```
data_TiPdW3
_chemical_formula_sum 'Ti1 Pd1 W3'
_cell_length_a 4.714
_cell_length_b 4.714
_cell_length_c 4.714
_cell_angle_alpha 90.00
_cell_angle_beta 90.00
_cell_angle_gamma 90.00
_symmetry_space_group_name_H-M 'P m -3 m'
_symmetry_Int_Tables_number 221
_symmetry_space_group_name_Hall '-P 4 2 3'
loop_
_atom_site_label
_atom_site_type_symbol
_atom_site_fract_x
_atom_site_fract_y
_atom_site_fract_z
Ti1 Ti 0.000 0.000 0.000
Pd1 Pd 0.500 0.500 0.500
W1 W 0.000 0.500 0.500
```

---

(2)
MgSc2In | GGA-PBE | optimized geometry

As for the total magnetization: 0.0 Bohr magnetons per cell. The value obtained for the volume is 24.0 Å³/atom. The value obtained for the formation energy is -12.67 kJ/mol of atoms. The value obtained for the energy above the most stable polymorph in this dataset is 0.166 eV per atom. Its uncorrected energy is -17.522 eV/f.u. For the density of states at the Fermi level, the calculation gives 8.64 states/eV per cell.

Geometry as CIF:
```
data_MgSc2In
_chemical_formula_sum 'Mg3 Sc6 In3'
_cell_length_a 3.3135
_cell_length_b 3.3135
_cell_length_c 30.2674
_cell_angle_alpha 90.00
_cell_angle_beta 90.00
_cell_angle_gamma 120.00
_symmetry_space_group_name_H-M 'R -3 m'
_symmetry_Int_Tables_number 166
_symmetry_space_group_name_Hall '-R 3 2"'
loop_
_atom_site_label
_atom_site_type_symbol
_atom_site_fract_x
_atom_site_fract_y
_atom_site_fract_z
Mg1 Mg 0.0000 0.0000 0.0000
Sc1 Sc 0.0000 0.0000 0.2489
In1 In 0.0000 0.0000 0.5000
```